Density functional theory data (PBEsol) for a relaxed structure of RbLaBi2P.

Output
The energy of formation from the pure elements comes out at 0.814 eV per atom. For the total energy, the calculation gives -3.333 eV/atom. Its total magnetic moment is 0.0 Bohr magnetons per cell.

Cell and atoms, written as POSCAR:
```
RbLaBi2P
1.0
5.286 0.000 0.000
0.000 5.750 0.000
0.000 0.000 5.750
Bi La Rb P
2 1 1 1
Cartesian
0.000 0.000 2.875
0.000 2.875 0.000
2.643 2.875 2.875
0.000 0.000 0.000
2.643 0.000 0.000
```